Arrangement i

Computed, not measured: a relaxed HfZrS2N crystal at the PBE level of DFT.

The density of states at the Fermi level comes out at 0.569 states/eV per atom. The calculated volume comes out at 98.4 Å³/f.u.

The structure belongs to space group P4/mmm (No. 123); the cell edges are 4.9948, 4.9948 and 3.9452 Å and the angles 90.00°, 90.00° and 90.00°. The distinct sites, in fractional coordinates, are Hf at (0.0000, 0.0000, 0.0000), Zr at (0.5000, 0.5000, 0.5000), S at (0.0000, 0.5000, 0.5000) and N at (0.5000, 0.5000, 0.0000).

Arrangement ii

Computed, not measured: a relaxed HfZrS2N crystal at the PBE level of DFT.

The density of states at the Fermi level comes out at 0.603 states/eV per atom. The calculated volume comes out at 96.1 Å³/f.u.

The structure belongs to space group P4/mmm (No. 123); the cell edges are 4.9318, 4.9318 and 3.9495 Å and the angles 90.00°, 90.00° and 90.00°. The distinct sites, in fractional coordinates, are Hf at (0.0000, 0.0000, 0.0000), Zr at (0.5000, 0.5000, 0.5000), S at (0.0000, 0.5000, 0.0000) and N at (0.0000, 0.0000, 0.5000).

Which of them is the most stable, and which is the least stable? arrangement ii and arrangement i, in that order.

Arrangement i

Computed, not measured: a relaxed Hf4Sb2N crystal at the PBE level of DFT.

The density of states at the Fermi level comes out at 0.539 states/eV per atom. The calculated volume comes out at 139.6 Å³/f.u.

The structure belongs to space group C2/m (No. 12); the cell edges are 14.9279, 3.2963 and 6.1186 Å and the angles 90.00°, 111.97° and 90.00°. The distinct sites, in fractional coordinates, are Hf at (0.0832, 0.0000, 0.4073), Hf at (0.0857, 0.5000, 0.9322), Sb at (0.2440, 0.5000, 0.7457) and N at (0.0000, 0.0000, 0.0000).

Arrangement ii

Computed, not measured: a relaxed Hf4Sb2N crystal at the PBE level of DFT.

The density of states at the Fermi level comes out at 0.961 states/eV per atom. The calculated volume comes out at 141.2 Å³/f.u.

The structure belongs to space group I4/mmm (No. 139); the cell edges are 4.3775, 4.3775 and 14.7331 Å and the angles 90.00°, 90.00° and 90.00°. The distinct sites, in fractional coordinates, are Hf at (0.0000, 0.0000, 0.1534), Hf at (0.0000, 0.5000, 0.0000), Sb at (0.0000, 0.0000, 0.3524) and N at (0.0000, 0.0000, 0.0000).

Which of them is the most stable, and which is the least stable? arrangement ii and arrangement i, in that order.

Arrangement i

Computed, not measured: a relaxed Hf4SbN2 crystal at the PBE level of DFT.

The density of states at the Fermi level comes out at 0.779 states/eV per atom. The calculated volume comes out at 146.1 Å³/f.u.

The structure belongs to space group I4/mmm (No. 139); the cell edges are 5.1735, 5.1735 and 10.9165 Å and the angles 90.00°, 90.00° and 90.00°. The distinct sites, in fractional coordinates, are Hf at (0.0000, 0.0000, 0.2381), Hf at (0.0000, 0.5000, 0.0000), Sb at (0.0000, 0.0000, 0.5000) and N at (0.0000, 0.0000, 0.0602).

Arrangement ii

Computed, not measured: a relaxed Hf4SbN2 crystal at the PBE level of DFT.

The density of states at the Fermi level comes out at 0.713 states/eV per atom. The calculated volume comes out at 136.4 Å³/f.u.

The structure belongs to space group I4/m (No. 87); the cell edges are 7.2685, 7.2685 and 5.1633 Å and the angles 90.00°, 90.00° and 90.00°. The distinct sites, in fractional coordinates, are Hf at (0.0964, 0.6970, 0.0000), Sb at (0.0000, 0.0000, 0.5000) and N at (0.0000, 0.5000, 0.2500).

Which of them is the most stable, and which is the least stable? arrangement ii and arrangement i, in that order.

Arrangement i

Computed, not measured: a relaxed Hf2SbN crystal at the PBE level of DFT.

The density of states at the Fermi level comes out at 0.805 states/eV per atom. The calculated volume comes out at 87.6 Å³/f.u.

The structure belongs to space group I-42d (No. 122); the cell edges are 5.7113, 5.7113 and 10.7452 Å and the angles 90.00°, 90.00° and 90.00°. The distinct sites, in fractional coordinates, are Hf at (0.1387, 0.2500, 0.1250), Sb at (0.0000, 0.0000, 0.5000) and N at (0.0000, 0.0000, 0.0000).

Arrangement ii

Computed, not measured: a relaxed Hf2SbN crystal at the PBE level of DFT.

The density of states at the Fermi level comes out at 1.130 states/eV per atom. The calculated volume comes out at 71.1 Å³/f.u.

The structure belongs to space group Fm-3m (No. 225); the cell edges are 6.5764, 6.5764 and 6.5764 Å and the angles 90.00°, 90.00° and 90.00°. The distinct sites, in fractional coordinates, are Hf at (0.2500, 0.2500, 0.2500), Sb at (0.0000, 0.0000, 0.0000) and N at (0.0000, 0.0000, 0.5000).

Arrangement iii

Computed, not measured: a relaxed Hf2SbN crystal at the PBE level of DFT.

The density of states at the Fermi level comes out at 0.574 states/eV per atom. The calculated volume comes out at 68.8 Å³/f.u.

The structure belongs to space group R-3m (No. 166, hexagonal axes); the cell edges are 3.4662, 3.4662 and 19.8504 Å and the angles 90.00°, 90.00° and 120.00°. The distinct sites, in fractional coordinates, are Hf at (0.0000, 0.0000, 0.2225), Sb at (0.0000, 0.0000, 0.0000) and N at (0.0000, 0.0000, 0.5000).

Which of them is the most stable, and which is the least stable? arrangement iii and arrangement ii, in that order.

Arrangement i

Computed, not measured: a relaxed HfSbSe2N crystal at the PBE level of DFT.

The density of states at the Fermi level comes out at 0.849 states/eV per atom. The calculated volume comes out at 113.0 Å³/f.u.

The structure belongs to space group P4/mmm (No. 123); the cell edges are 5.3348, 5.3348 and 3.9721 Å and the angles 90.00°, 90.00° and 90.00°. The distinct sites, in fractional coordinates, are Hf at (0.0000, 0.0000, 0.0000), Sb at (0.5000, 0.5000, 0.5000), Se at (0.0000, 0.5000, 0.0000) and N at (0.0000, 0.0000, 0.5000).

Arrangement ii

Computed, not measured: a relaxed HfSbSe2N crystal at the PBE level of DFT.

The density of states at the Fermi level comes out at 0.570 states/eV per atom. The calculated volume comes out at 109.3 Å³/f.u.

The structure belongs to space group P4/mmm (No. 123); the cell edges are 5.3009, 5.3009 and 3.8899 Å and the angles 90.00°, 90.00° and 90.00°. The distinct sites, in fractional coordinates, are Hf at (0.0000, 0.0000, 0.0000), Sb at (0.5000, 0.5000, 0.5000), Se at (0.0000, 0.5000, 0.5000) and N at (0.5000, 0.5000, 0.0000).

Which of them is the most stable, and which is the least stable? arrangement i and arrangement ii, in that order.

Arrangement i

Computed, not measured: a relaxed HfSbSeN2 crystal at the PBE level of DFT.

The density of states at the Fermi level comes out at 0.696 states/eV per atom. The calculated volume comes out at 94.3 Å³/f.u.

The structure belongs to space group P4/mmm (No. 123); the cell edges are 4.1772, 4.1772 and 5.4056 Å and the angles 90.00°, 90.00° and 90.00°. The distinct sites, in fractional coordinates, are Hf at (0.0000, 0.0000, 0.0000), Sb at (0.5000, 0.5000, 0.5000), Se at (0.0000, 0.0000, 0.5000) and N at (0.0000, 0.5000, 0.0000).

Arrangement ii

Computed, not measured: a relaxed HfSbSeN2 crystal at the PBE level of DFT.

The density of states at the Fermi level comes out at 0.593 states/eV per atom. The calculated volume comes out at 85.0 Å³/f.u.

The structure belongs to space group P4/mmm (No. 123); the cell edges are 4.0421, 4.0421 and 5.2041 Å and the angles 90.00°, 90.00° and 90.00°. The distinct sites, in fractional coordinates, are Hf at (0.0000, 0.0000, 0.0000), Sb at (0.5000, 0.5000, 0.5000), Se at (0.5000, 0.5000, 0.0000) and N at (0.0000, 0.5000, 0.5000).

Which of them is the most stable, and which is the least stable? arrangement i and arrangement ii, in that order.

Arrangement i

Computed, not measured: a relaxed Hf3ScN3 crystal at the PBE level of DFT.

The density of states at the Fermi level comes out at 0.502 states/eV per atom. The calculated volume comes out at 105.9 Å³/f.u.

The structure belongs to space group P-1 (No. 2); the cell edges are 5.1450, 6.2611 and 6.5962 Å and the angles 90.06°, 90.00° and 94.55°. The distinct sites, in fractional coordinates, are Hf at (0.2236, 0.1819, 0.2497), Hf at (0.2672, 0.6445, 0.0012), Hf at (0.2672, 0.6445, 0.4991), Sc at (0.2287, 0.1810, 0.7497), N at (0.1830, 0.8467, 0.7503), N at (0.2023, 0.8518, 0.2503) and N at (0.4975, 0.4952, 0.2500).

Arrangement ii

Computed, not measured: a relaxed Hf3ScN3 crystal at the PBE level of DFT.

The density of states at the Fermi level comes out at 0.522 states/eV per atom. The calculated volume comes out at 106.7 Å³/f.u.

The structure belongs to space group P6_3/mmc (No. 194); the cell edges are 7.3821, 7.3821 and 4.5230 Å and the angles 90.00°, 90.00° and 120.00°. The distinct sites, in fractional coordinates, are Hf at (0.1707, 0.3414, 0.2500), Sc at (0.3333, 0.6667, 0.7500) and N at (0.1586, 0.3172, 0.7500).

Which of them is the most stable, and which is the least stable? arrangement ii and arrangement i, in that order.